Entry 1:
DFT (PBE) results for crystalline Ac2HoTl2 at its relaxed geometry.

Computed properties:
For the formation energy, the calculation gives -1.4 eV/f.u. The value obtained for the final energy is -18.914 eV per cell. Its space group is Immm, No. 71. As for the energy above the most stable polymorph in this dataset: 17 meV per atom. For the calculated volume, the calculation gives 35.58 A^3/atom.

```
Ac2HoTl2
1.0
-2.4879 3.5646 5.0147
2.4879 -3.5646 5.0147
2.4879 3.5646 -5.0147
Ac Ho Tl
2 1 2
Direct
0.1961 0.1961 0.0000
0.8039 0.8039 0.0000
0.5000 0.0000 0.5000
0.2286 0.5000 0.7286
0.7714 0.5000 0.2714
```

Entry 2:
DFT (PBE) results for crystalline Ac3HoTl2 at its relaxed geometry.

Computed properties:
For the formation energy, the calculation gives -1.3 eV/f.u. The value obtained for the final energy is -45.779 eV per cell. Its space group is Ibam, No. 72. For the calculated volume, the calculation gives 36.92 A^3/atom.

```
Ac3HoTl2
1.0
-3.5601 8.7559 3.5527
3.5601 -8.7559 3.5527
3.5601 8.7559 -3.5527
Ac Ho Tl
6 2 4
Direct
0.1775 0.7495 0.9270
0.2500 0.2500 0.0000
0.3225 0.2495 0.5720
0.6775 0.7505 0.4280
0.7500 0.7500 0.0000
0.8225 0.2505 0.0730
0.2500 0.7500 0.5000
0.7500 0.2500 0.5000
0.1292 0.2697 0.3988
0.3708 0.7697 0.1405
0.6292 0.2303 0.8595
0.8708 0.7303 0.6012
```

Entry 3:
DFT (PBE) results for crystalline AcHoTl2 at its relaxed geometry.

Computed properties:
For the formation energy, the calculation gives -0.9 eV/f.u. The value obtained for the final energy is -14.280 eV per cell. Its space group is R-3m, No. 166. For the calculated volume, the calculation gives 33.18 A^3/atom.

```
AcHoTl2
1.0
1.9570 1.1299 10.0032
-1.9570 1.1299 10.0032
0.0000 -2.2598 10.0032
Ac Ho Tl
1 1 2
Direct
0.0000 0.0000 0.0000
0.5000 0.5000 0.5000
0.2434 0.2434 0.2434
0.7566 0.7566 0.7566
```

Entry 4:
DFT (PBE) results for crystalline Ac2HoTl2 at its relaxed geometry.

Computed properties:
For the formation energy, the calculation gives -1.5 eV/f.u. The value obtained for the final energy is -75.996 eV per cell. Its space group is P4/mnc, No. 128. As for the energy above the most stable polymorph in this dataset: 0 meV per atom. For the calculated volume, the calculation gives 35.24 A^3/atom.

```
Ac2HoTl2
1.0
8.3955 0.0000 0.0000
0.0000 8.3955 0.0000
0.0000 0.0000 9.9986
Ac Ho Tl
8 4 8
Direct
0.1703 0.3301 0.0000
0.1699 0.3297 0.5000
0.3301 0.8297 0.0000
0.3297 0.8301 0.5000
0.6699 0.1703 0.0000
0.6703 0.1699 0.5000
0.8297 0.6699 0.0000
0.8301 0.6703 0.5000
0.0000 0.0000 0.2495
0.0000 0.0000 0.7505
0.5000 0.5000 0.2505
0.5000 0.5000 0.7495
0.1319 0.6319 0.2500
0.1319 0.6319 0.7500
0.3681 0.1319 0.2500
0.3681 0.1319 0.7500
0.6319 0.8681 0.2500
0.6319 0.8681 0.7500
0.8681 0.3681 0.2500
0.8681 0.3681 0.7500
```

Entry 5:
DFT (PBE) results for crystalline Ac5Ho2Tl4 at its relaxed geometry.

Computed properties:
For the formation energy, the calculation gives -0.2 eV/f.u. The value obtained for the final energy is -39.372 eV per cell. Its space group is C2/m, No. 12. For the calculated volume, the calculation gives 37.04 A^3/atom.

```
Ac5Ho2Tl4
1.0
12.6066 -1.8977 0.0000
12.6066 1.8977 0.0000
-0.2008 0.0000 8.5152
Ac Ho Tl
5 2 4
Direct
0.0000 0.0000 0.0000
0.2717 0.2717 0.2932
0.3498 0.3498 0.8990
0.6502 0.6502 0.1010
0.7283 0.7283 0.7068
0.4152 0.4152 0.2903
0.5848 0.5848 0.7097
0.1430 0.1430 0.4451
0.4620 0.4620 0.6502
0.5380 0.5380 0.3498
0.8570 0.8570 0.5549
```

Entry 6:
DFT (PBE) results for crystalline Ac3HoTl4 at its relaxed geometry.

Computed properties:
For the formation energy, the calculation gives -2.7 eV/f.u. The value obtained for the final energy is -29.110 eV per cell. Its space group is P4/mmm, No. 123. As for the energy above the most stable polymorph in this dataset: 0 meV per atom. For the calculated volume, the calculation gives 33.09 A^3/atom.

```
Ac3HoTl4
1.0
3.9642 0.0000 0.0000
0.0000 3.9642 0.0000
0.0000 0.0000 16.8449
Ac Ho Tl
3 1 4
Direct
0.0000 0.0000 0.0000
0.0000 0.0000 0.2639
0.0000 0.0000 0.7361
0.0000 0.0000 0.5000
0.5000 0.5000 0.1331
0.5000 0.5000 0.3970
0.5000 0.5000 0.6030
0.5000 0.5000 0.8669
```